1.
This record from Alexandria describes a relaxed structure of Ac2TbI. The functional is PBE-GGA.

Summary:
Raw formation energy   -0.124 eV/atom
Energy relative to the lowest polymorph listed for this composition   0.253 eV/atom

Lattice parameters (Å, degrees): 3.827 3.827 12.884 81.46 81.46 60.00
Each line ends with the local moment (μB).
Positions (direct):
Ac: 0.094 0.094 0.717  0.05
Ac: 0.906 0.906 0.283  0.05
I: 0.500 0.500 0.500  0.00
Tb: 0.000 0.000 0.000  0.34

2.
This record from Alexandria describes a relaxed structure of AcTb2I8. The functional is PBE-GGA.

Summary:
Raw formation energy   -1.247 eV/atom

Lattice parameters (Å, degrees): 7.589 9.823 9.823 59.23 89.14 89.14
Each line ends with the local moment (μB).
Positions (direct):
I: 0.253 0.833 0.320  0.00
I: 0.747 0.680 0.167  0.00
I: 0.238 0.833 0.833  0.00
I: 0.743 0.676 0.676  0.00
I: 0.762 0.167 0.167  0.00
I: 0.253 0.320 0.833  0.00
I: 0.747 0.167 0.680  0.00
I: 0.257 0.324 0.324  0.00
Ac: 0.000 0.000 0.000  0.17
Tb: 0.370 0.165 0.165  0.17
Tb: 0.630 0.835 0.835  0.17

3.
This record from Alexandria describes a relaxed structure of Ac4TcI4. The functional is PBE-GGA.

Summary:
Raw formation energy   -0.909 eV/atom

Lattice parameters (Å, degrees): 4.449 8.856 10.615 77.89 77.90 75.45
Positions (direct):
I: 0.886 0.812 0.416
I: 0.305 0.587 0.803
I: 0.695 0.413 0.197
I: 0.114 0.188 0.584
Ac: 0.072 0.773 0.083
Ac: 0.673 0.909 0.746
Ac: 0.928 0.227 0.917
Ac: 0.327 0.091 0.254
Tc: 0.500 0.000 0.000

4.
This record from Alexandria describes a relaxed structure of AcTcI2. The functional is PBE-GGA.

Summary:
Raw formation energy   0.256 eV/atom

Lattice parameters (Å, degrees): 4.002 4.002 10.669 79.19 79.19 60.00
Each line ends with the local moment (μB).
Positions (direct):
Tc: 0.000 0.000 0.000  3.08
I: 0.913 0.913 0.261  0.02
I: 0.087 0.087 0.739  0.02
Ac: 0.500 0.500 0.500  -0.01

5.
This record from Alexandria describes a relaxed structure of Ac3TcI. The functional is PBE-GGA.

Summary:
Raw formation energy   -0.328 eV/atom

Lattice parameters (Å, degrees): 4.205 9.959 10.016 114.50 89.97 90.06
Positions (direct):
Ac: 0.751 0.979 0.322
Ac: 0.250 0.633 0.305
Ac: 0.251 0.761 0.951
Ac: 0.750 0.367 0.695
Ac: 0.749 0.239 0.049
Ac: 0.249 0.021 0.678
I: 0.750 0.701 0.635
I: 0.250 0.299 0.365
Tc: 0.750 0.548 0.059
Tc: 0.250 0.452 0.941

6.
This record from Alexandria describes a relaxed structure of Ac7TcI12. The functional is PBE-GGA.

Summary:
Raw formation energy   -1.251 eV/atom

Lattice parameters (Å, degrees): 12.123 10.577 10.577 106.32 112.46 112.46
Each line ends with the local moment (μB).
Positions (direct):
Ac: 0.701 0.719 0.799  0.11
Ac: 0.500 0.000 0.000  0.02
Ac: 0.018 0.920 0.719  0.11
Ac: 0.902 0.201 0.920  0.11
Ac: 0.098 0.799 0.080  0.11
Ac: 0.299 0.281 0.201  0.11
Ac: 0.982 0.080 0.281  0.11
I: 0.380 0.216 0.918  0.01
I: 0.676 0.603 0.453  0.01
I: 0.620 0.784 0.082  0.01
I: 0.837 0.298 0.216  0.01
I: 0.462 0.082 0.298  0.01
I: 0.777 0.453 0.850  0.01
I: 0.927 0.150 0.603  0.01
I: 0.324 0.397 0.547  0.01
I: 0.163 0.702 0.784  0.01
I: 0.223 0.547 0.150  0.01
I: 0.538 0.918 0.702  0.01
I: 0.073 0.850 0.397  0.01
Tc: 0.000 0.000 0.000  -0.10

7.
This record from Alexandria describes a relaxed structure of Ac9Tc2I14. The functional is PBE-GGA.

Summary:
Raw formation energy   -1.019 eV/atom

Lattice parameters (Å, degrees): 9.672 9.672 13.458 90.00 90.00 120.00
Positions (direct):
Ac: 0.612 0.708 0.333
Ac: 0.667 0.333 0.932
Ac: 0.333 0.667 0.068
Ac: 0.708 0.096 0.667
Ac: 0.000 0.000 0.000
Ac: 0.096 0.388 0.333
Ac: 0.904 0.612 0.667
Ac: 0.388 0.292 0.667
Ac: 0.292 0.904 0.333
I: 0.306 0.910 0.594
I: 0.689 0.638 0.091
I: 0.949 0.311 0.091
I: 0.051 0.689 0.909
I: 0.000 0.000 0.254
I: 0.090 0.396 0.594
I: 0.694 0.090 0.406
I: 0.362 0.051 0.091
I: 0.311 0.362 0.909
I: 0.638 0.949 0.909
I: 0.910 0.604 0.406
I: 0.396 0.306 0.406
I: 0.000 0.000 0.746
I: 0.604 0.694 0.594
Tc: 0.667 0.333 0.724
Tc: 0.333 0.667 0.276

8.
This record from Alexandria describes a relaxed structure of Ac4TcI5. The functional is PBE-GGA.

Summary:
Raw formation energy   -1.032 eV/atom

Lattice parameters (Å, degrees): 4.516 9.857 10.616 103.84 102.28 90.00
Positions (direct):
I: 0.500 0.500 0.000
I: 0.168 0.342 0.336
I: 0.826 0.161 0.653
I: 0.832 0.658 0.664
I: 0.174 0.839 0.347
Ac: 0.640 0.077 0.280
Ac: 0.000 0.211 0.999
Ac: 0.000 0.789 0.001
Ac: 0.360 0.923 0.720
Tc: 0.500 0.000 0.000

- Which formula does entry 6 have?
  Ac7TcI12

- What is the raw formation energy in the first record?
  -0.124 eV/atom

- What is the formula in the third record?
  Ac4TcI4

- Number 1 is which compound?
  Ac2TbI